No. 1
Material: AcLaNd6Tm2
Method: DFT, GGA-PBE
State: optimized geometry

```
AcLaNd6Tm2
1.0
4.726 -7.728 0.000
4.726 7.728 0.000
-1.113 0.000 9.831
Ac La Nd Tm
2 2 12 4
Cartesian
3.892 7.212 7.373
4.448 -7.212 2.458
4.448 1.426 2.458
3.892 -1.426 7.373
1.937 4.154 6.655
4.019 4.964 0.545
4.877 4.964 4.371
2.836 1.683 8.647
5.846 4.154 8.092
4.947 1.683 6.100
3.392 -1.683 3.731
2.493 -4.154 1.739
5.504 -1.683 1.184
3.463 -4.964 5.460
4.321 -4.964 9.287
6.403 -4.154 3.177
1.776 0.814 5.389
2.333 -0.814 0.474
6.007 0.814 9.358
6.564 -0.814 4.442
```

Values from the calculation:
VASP energy: -4.5433 eV per atom
V: 718.2 Å³/cell
Energy relative to the elements: 0.1153 eV/atom
Fermi-level density of states: 1.390 states/eV/atom
M_tot: 0.000 μB/f.u.

=====

No. 2
Material: AgSbH
Method: DFT, GGA-PBE
State: optimized geometry

```
AgSbH
1.0
2.481 -4.267 0.000
2.481 4.267 0.000
0.000 0.000 13.588
Ag Sb H
4 4 4
Cartesian
2.481 3.474 11.147
2.481 0.793 4.354
2.481 -0.793 9.234
2.481 -3.474 2.440
2.481 4.091 8.258
2.481 0.176 1.464
2.481 -0.176 12.124
2.481 -4.091 5.330
2.481 2.687 5.065
2.481 1.580 11.859
2.481 -1.580 1.729
2.481 -2.687 8.523
```

Values from the calculation:
VASP energy: -3.2276 eV per atom
ΔE to the lowest computed polymorph: 20 meV per atom
V: 287.7 Å³/cell
Fermi-level density of states: 0.170 states/eV/atom
M_tot: 0.000 μB/f.u.

=====

No. 3
Material: Tl2TeBr
Method: DFT, GGA-PBE
State: optimized geometry

```
Tl2TeBr
1.0
6.427 0.000 0.000
0.000 6.524 0.000
0.000 0.000 13.740
Tl Te Br
8 4 4
Cartesian
0.000 1.542 1.583
0.000 1.703 8.734
0.000 4.821 5.006
0.000 4.983 12.157
3.214 1.542 5.287
3.214 1.703 11.876
3.214 4.821 1.864
3.214 4.983 8.453
0.000 1.731 12.021
0.000 4.793 1.719
3.214 1.731 8.589
3.214 4.793 5.151
0.000 1.548 5.148
0.000 4.977 8.592
3.214 1.548 1.722
3.214 4.977 12.018
```

Values from the calculation:
VASP energy: -2.8448 eV per atom
ΔE to the lowest computed polymorph: 25 meV per atom
V: 576.2 Å³/cell
Fermi-level density of states: 0.672 states/eV/atom
M_tot: 0.000 μB/f.u.

=====

No. 4
Material: KNaCuBr4
Method: DFT, GGA-PBE
State: optimized geometry

```
KNaCuBr4
1.0
7.364 0.000 0.000
0.000 6.786 0.000
-2.593 0.000 8.651
K Na Cu Br
2 2 2 8
Cartesian
0.564 1.696 3.769
4.207 5.089 4.882
-0.648 1.696 8.074
5.419 5.089 0.577
1.576 5.089 1.533
3.195 1.696 7.119
-1.872 5.089 7.940
-0.320 5.089 3.100
1.641 3.448 6.638
1.641 6.730 6.638
3.129 0.055 2.013
3.129 3.338 2.013
5.090 1.696 5.552
6.643 1.696 0.712
```

Values from the calculation:
VASP energy: -2.9124 eV per atom
V: 432.3 Å³/cell
Fermi-level density of states: 1.054 states/eV/atom
M_tot: 0.555 μB/f.u.

=====

No. 5
Material: ReTeSe4
Method: DFT, GGA-PBE
State: optimized geometry

```
ReTeSe4
1.0
0.000 4.030 4.030
4.030 0.000 4.030
4.030 4.030 0.000
Re Te Se
1 1 4
Cartesian
0.000 0.000 0.000
2.015 2.015 2.015
5.057 3.003 3.003
3.003 5.057 3.003
3.003 3.003 5.057
5.057 5.057 5.057
```

Values from the calculation:
VASP energy: -3.6185 eV per atom
ΔE to the lowest computed polymorph: 1327 meV per atom
V: 130.9 Å³/cell
Fermi-level density of states: 0.492 states/eV/atom
M_tot: 3.123 μB/f.u.

=====

No. 6
Material: DySnPd3
Method: DFT, GGA-PBE
State: optimized geometry

```
DySnPd3
1.0
4.689 0.000 0.000
0.000 5.829 0.000
-0.016 0.000 7.176
Dy Sn Pd
2 2 6
Cartesian
1.162 1.457 2.466
3.511 4.372 4.709
1.160 4.372 0.410
3.513 1.457 6.765
1.166 4.372 3.025
1.167 0.114 5.430
1.167 2.801 5.430
3.506 3.028 1.746
3.506 5.716 1.746
3.507 1.457 4.151
```

Values from the calculation:
VASP energy: -5.5893 eV per atom
ΔE to the lowest computed polymorph: 46 meV per atom
V: 196.1 Å³/cell
Energy relative to the elements: -0.7526 eV/atom
Fermi-level density of states: 0.525 states/eV/atom
M_tot: 0.000 μB/f.u.

=====

No. 7
Material: Ho2CdAg6
Method: DFT, GGA-PBE
State: optimized geometry

```
Ho2CdAg6
1.0
2.626 -7.813 0.000
2.626 7.813 0.000
-2.510 0.000 4.535
Ho Cd Ag
2 1 6
Cartesian
2.626 5.282 0.000
2.626 -5.282 0.000
-1.255 0.000 2.267
0.088 2.632 3.030
1.416 0.000 0.830
2.655 2.632 1.505
0.088 -2.632 3.030
1.327 0.000 3.705
2.655 -2.632 1.505
```

Values from the calculation:
VASP energy: -3.2076 eV per atom
ΔE to the lowest computed polymorph: 0 meV per atom
V: 186.1 Å³/cell
Energy relative to the elements: -0.1878 eV/atom
Fermi-level density of states: 0.562 states/eV/atom
M_tot: 0.000 μB/f.u.

=====

No. 8
Material: Ac3Zn2CuPt6
Method: DFT, GGA-PBE
State: optimized geometry

```
Ac3Zn2CuPt6
1.0
5.832 0.000 0.000
-2.916 5.050 0.000
0.000 0.000 9.138
Ac Zn Cu Pt
3 2 1 6
Cartesian
0.000 0.000 0.000
0.000 3.367 5.586
2.916 1.683 3.553
0.000 3.367 0.530
2.916 1.683 8.608
0.000 0.000 4.569
0.000 1.715 2.600
-1.431 4.193 2.600
1.485 0.857 6.538
1.431 4.193 2.600
4.346 0.857 6.538
2.916 3.335 6.538
```

Values from the calculation:
VASP energy: -5.3492 eV per atom
V: 269.1 Å³/cell
Energy relative to the elements: -0.7481 eV/atom
Fermi-level density of states: 0.513 states/eV/atom
M_tot: 0.000 μB/f.u.

=====

Number 2 is which compound?
AgSbH

=====

Which of these has the lowest Fermi-level density of states?
AgSbH

=====

Which of these has the highest M_tot?
ReTeSe4

=====

Among the records above, which one has the highest V?
AcLaNd6Tm2